Record 1
VASP calculation (PBE) on a geometry-optimized Ti6Ga2H structure.

CIF file:
```
data_Ti6Ga2H
_chemical_formula_sum 'Ti12 Ga4 H2'
_cell_length_a 5.7106
_cell_length_b 5.7106
_cell_length_c 8.0449
_cell_angle_alpha 90.00
_cell_angle_beta 90.00
_cell_angle_gamma 90.00
_space_group_name_H-M_alt 'I 4/m m m'
_space_group_IT_number 139
_space_group_name_Hall '-I 4 2'
loop_
_atom_site_label
_atom_site_fract_x
_atom_site_fract_y
_atom_site_fract_z
Ti1 0.0000 0.0000 0.2484
Ti2 0.2482 0.2482 0.0000
Ga1 0.0000 0.5000 0.2500
H1 0.0000 0.0000 0.5000
```

The spin magnetization comes out at 0.000 μB per formula unit. The value obtained for the total energy is -0.246 Ha/atom.

=====

Record 2
VASP calculation (PBE) on a geometry-optimized BaSrLaBiO6 structure.

CIF file:
```
data_BaSrLaBiO6
_chemical_formula_sum 'Ba2 Sr2 La2 Bi2 O12'
_cell_length_a 6.1086
_cell_length_b 6.3260
_cell_length_c 10.6483
_cell_angle_alpha 90.00
_cell_angle_beta 124.41
_cell_angle_gamma 90.00
_space_group_name_H-M_alt 'P 1 c 1'
_space_group_IT_number 7
_space_group_name_Hall 'P -2yc'
loop_
_atom_site_label
_atom_site_fract_x
_atom_site_fract_y
_atom_site_fract_z
Ba1 0.0000 0.2151 0.0000
Sr1 0.2620 0.2395 0.7496
La1 0.5335 0.3087 0.4985
Bi1 0.7629 0.2496 0.2524
O1 0.1324 0.2097 0.4770
O2 0.4393 0.3175 0.0212
O3 0.5391 0.0749 0.3173
O4 0.6267 0.4928 0.8251
O5 0.8492 0.0431 0.6816
O6 0.9736 0.4611 0.2005
```

The spin magnetization comes out at 0.000 μB per formula unit. For the formation energy without anion corrections, the calculation gives -2349.6 meV/atom. The value obtained for the total energy is -0.241 Ha/atom.

=====

Record 3
VASP calculation (PBE) on a geometry-optimized SrMg2In structure.

CIF file:
```
data_SrMg2In
_chemical_formula_sum 'Sr2 Mg4 In2'
_cell_length_a 6.6692
_cell_length_b 11.3617
_cell_length_c 3.4539
_cell_angle_alpha 90.00
_cell_angle_beta 115.98
_cell_angle_gamma 90.00
_space_group_name_H-M_alt 'C 1 2/m 1'
_space_group_IT_number 12
_space_group_name_Hall '-C 2y'
loop_
_atom_site_label
_atom_site_fract_x
_atom_site_fract_y
_atom_site_fract_z
Sr1 0.0000 0.0000 0.0000
Mg1 0.2500 0.2500 0.5000
In1 0.0000 0.5000 0.0000
```

The spin magnetization comes out at 0.000 μB per formula unit. The formation enthalpy at 0 K is -1.6 kJ per mole of atoms. The value obtained for the total energy is -0.071 Ha/atom.

=====

Record 4
VASP calculation (PBE) on a geometry-optimized HfAlAu structure.

CIF file:
```
data_HfAlAu
_chemical_formula_sum 'Hf4 Al4 Au4'
_cell_length_a 3.8971
_cell_length_b 13.4133
_cell_length_c 4.2259
_cell_angle_alpha 90.00
_cell_angle_beta 90.08
_cell_angle_gamma 90.00
_space_group_name_H-M_alt 'C 1 2 1'
_space_group_IT_number 5
_space_group_name_Hall 'C 2y'
loop_
_atom_site_label
_atom_site_fract_x
_atom_site_fract_y
_atom_site_fract_z
Hf1 0.0000 0.0000 0.0000
Hf2 0.0000 0.3226 0.0000
Al1 0.0000 0.1574 0.5000
Al2 0.0000 0.4852 0.5000
Au1 0.0000 0.6628 0.0000
Au2 0.0000 0.8291 0.5000
```

The spin magnetization comes out at 0.000 μB per formula unit. The formation enthalpy at 0 K is -40.7 kJ per mole of atoms. The value obtained for the total energy is -0.223 Ha/atom.